Density functional theory data (PBE-GGA) for a geometry-optimized Tl2Re structure.

a = 5.587 Å, b = 5.587 Å, c = 10.932 Å
α = 90.00°, β = 90.00°, γ = 120.00°
Sites, in units of the cell vectors:
Re (0.667, 0.333, 0.024)
Re (0.667, 0.333, 0.476)
Re (0.333, 0.667, 0.524)
Re (0.333, 0.667, 0.976)
Tl (0.000, 0.000, 0.000)
Tl (0.168, 0.832, 0.750)
Tl (0.000, 0.000, 0.500)
Tl (0.168, 0.336, 0.750)
Tl (0.832, 0.168, 0.250)
Tl (0.336, 0.168, 0.250)
Tl (0.664, 0.832, 0.750)
Tl (0.832, 0.664, 0.250)

Calculated values
Its space group is P6_3/mmc (194). The value obtained for the total moment is 0.00 Bohr magnetons per cell. Its calculated total energy is -4.06 eV per atom. Its calculated density is 13.4 g/cm3.